(1)
Computed, not measured: an optimized crystal structure of ScBi2MoC at the GGA-PBEsol level of DFT.

Cell: 4.0055 5.0460 5.0460 Å, 90.00 90.00 90.00°
Sites, in units of the cell vectors:
Sc (0.5000, 0.5000, 0.5000)
C (0.0000, 0.0000, 0.0000)
Mo (0.5000, 0.0000, 0.0000)
Bi (0.0000, 0.5000, 0.0000)
Bi (0.0000, 0.0000, 0.5000)

Properties
The symmetry is No. 123. The energy comes out at -6.82 eV per atom. The energy of formation is 0.5007 eV per atom.

***

(2)
Computed, not measured: an optimized crystal structure of K2OsW at the GGA-PBEsol level of DFT.

Cell: 2.6599 5.1232 5.9130 Å, 90.00 90.00 99.55°
Sites, in units of the cell vectors:
W (0.5000, 0.0000, 0.5000)
Os (0.0000, 0.5000, 0.5000)
K (0.2285, 0.2551, 0.0000)
K (0.7715, 0.7449, 0.0000)

Properties
The symmetry is No. 10. The energy comes out at -5.64 eV per atom. The energy of formation is 1.4275 eV per atom. Its energy above the lowest structure with this stoichiometry is 12 meV per atom.

***

(3)
Computed, not measured: an optimized crystal structure of BeNb2PdS at the GGA-PBEsol level of DFT.

Cell: 4.2713 4.9087 4.9087 Å, 90.00 90.00 90.00°
Sites, in units of the cell vectors:
Nb (0.0000, 0.5000, 0.0000)
Be (0.5000, 0.5000, 0.5000)
Pd (0.0000, 0.0000, 0.0000)
S (0.5000, 0.0000, 0.0000)
Nb (0.0000, 0.0000, 0.5000)

Properties
The symmetry is No. 123. The energy comes out at -5.69 eV per atom.

***

(4)
Computed, not measured: an optimized crystal structure of NaGeSe2Br at the GGA-PBEsol level of DFT.

Cell: 4.9230 4.9230 5.5560 Å, 90.00 90.00 90.00°
Sites, in units of the cell vectors:
Br (0.0000, 0.0000, 0.5000)
Na (0.5000, 0.5000, 0.5000)
Ge (0.0000, 0.0000, 0.0000)
Se (0.5000, 0.0000, 0.0000)
Se (0.0000, 0.5000, 0.0000)

Properties
The symmetry is No. 123. The energy comes out at -3.51 eV per atom.

***

(5)
Computed, not measured: an optimized crystal structure of Ca2IrSN at the GGA-PBEsol level of DFT.

Cell: 3.7047 5.0102 5.0102 Å, 90.00 90.00 90.00°
Sites, in units of the cell vectors:
N (0.0000, 0.0000, 0.0000)
Ir (0.5000, 0.0000, 0.0000)
Ca (0.0000, 0.0000, 0.5000)
S (0.5000, 0.5000, 0.5000)
Ca (0.0000, 0.5000, 0.0000)

Properties
The symmetry is No. 123. The energy comes out at -6.48 eV per atom.

***

(6)
Computed, not measured: an optimized crystal structure of Co2AgRh at the GGA-PBEsol level of DFT.

Cell: 2.6354 2.6354 8.6830 Å, 81.27 81.27 60.00°
Sites, in units of the cell vectors:
Co (0.0076, 0.0076, 0.9771)
Rh (0.4928, 0.4928, 0.5216)
Co (0.7465, 0.7465, 0.7604)
Ag (0.2530, 0.2530, 0.2409)

Properties
The symmetry is No. 160. The energy comes out at -6.52 eV per atom. The energy of formation is 0.2135 eV per atom.